A plane-wave DFT calculation with PBE with a Hubbard U was carried out for NiNF3 after structural relaxation.

a b c (Å): 5.5685 5.5685 14.0037
angles (deg): 90.00 90.00 120.00
Space group P6_3/mmc (No. 194)
Unique sites:
Ni: 0.0000 0.0000 0.0000
Ni: 0.3333 0.6667 0.1519
N: 0.0000 0.0000 0.2500
N: 0.3333 0.6667 0.6341
F: 0.0295 0.5147 0.2500
F: 0.1648 0.3296 0.0797

* volume: 12.535 Å³ per atom
* energy above the lowest structure with this stoichiometry: 416 meV per atom
* crystal system: hexagonal